Record 1
Entry from Alexandria via LeMat-Bulk: a PBEsol-optimized structure of SrCrW (meta-GGA SCAN).

Cell: 4.4766 4.4766 4.4766 Å, 60.00 60.00 60.00°
Last column: magnetic moment on the atom in μB.
Fractional positions:
Cr  0.7500  0.7500  0.7500  2.76
Sr  0.0000  0.0000  0.0000  -0.02
W  0.5000  0.5000  0.5000  -1.85

Its calculated volume is 63.4 Å³/cell. Its energy above the most stable polymorph in this dataset is 810 meV/atom. The energy of formation from the pure elements comes out at 1.634 eV per atom.

---

Record 2
Entry from Alexandria via LeMat-Bulk: a PBEsol-optimized structure of CaBeTlBr2 (meta-GGA SCAN).

Cell: 4.7217 4.7217 6.0750 Å, 90.00 90.00 90.00°
Last column: magnetic moment on the atom in μB.
Fractional positions:
Be  0.0000  0.0000  0.0000  -0.07
Tl  0.5000  0.5000  0.5000  -0.01
Ca  0.0000  0.0000  0.5000  -0.04
Br  0.0000  0.5000  0.0000  -0.01
Br  0.5000  0.0000  0.0000  -0.01

The formation energy without anion corrections comes out at -0.178 eV per atom. Its calculated volume is 135.4 Å³/cell.

---

Record 3
Entry from Alexandria via LeMat-Bulk: a PBEsol-optimized structure of TaInSb (meta-GGA SCAN).

Cell: 3.2266 3.2266 7.1303 Å, 90.00 90.00 120.00°
Fractional positions:
In  0.0000  0.0000  0.0195
Sb  0.6667  0.3333  0.6415
Ta  0.3333  0.6667  0.3390

The formation energy without anion corrections comes out at 0.242 eV per atom. Its calculated volume is 64.3 Å³/cell.

---

Record 4
Entry from Alexandria via LeMat-Bulk: a PBEsol-optimized structure of Li2AgI (meta-GGA SCAN).

Cell: 7.0831 7.0831 6.4350 Å, 123.39 123.39 90.00°
Fractional positions:
I  0.2500  0.7500  0.5000
I  0.0000  0.0000  0.0000
Ag  0.7500  0.2500  0.5000
Ag  0.5000  0.5000  0.0000
Li  0.3802  0.8750  0.2500
Li  0.8698  0.3750  0.2500
Li  0.1250  0.1302  0.7500
Li  0.6250  0.6198  0.7500

The formation energy without anion corrections comes out at -0.413 eV per atom. Its calculated volume is 202.7 Å³/cell.

---

Record 5
Entry from Alexandria via LeMat-Bulk: a PBEsol-optimized structure of FeCoI2O (meta-GGA SCAN).

Cell: 3.4591 5.2606 5.2606 Å, 90.00 90.00 90.00°
Last column: magnetic moment on the atom in μB.
Fractional positions:
I  0.0000  0.0000  0.5000  0.07
I  0.0000  0.5000  0.0000  0.07
Co  0.0000  0.0000  0.0000  1.15
Fe  0.5000  0.5000  0.5000  3.17
O  0.5000  0.0000  0.0000  0.40

The formation energy without anion corrections comes out at 0.136 eV per atom. Its calculated volume is 95.7 Å³/cell.

---

Record 6
Entry from Alexandria via LeMat-Bulk: a PBEsol-optimized structure of TaCdTe2 (meta-GGA SCAN).

Cell: 3.4559 5.5919 6.9859 Å, 66.65 75.68 72.00°
Fractional positions:
Cd  0.4613  0.4490  0.6285
Te  0.0658  0.9476  0.9208
Te  0.2334  0.2066  0.3266
Ta  0.7395  0.8968  0.6241

The formation energy without anion corrections comes out at 0.055 eV per atom. Its calculated volume is 116.7 Å³/cell.

---

Record 7
Entry from Alexandria via LeMat-Bulk: a PBEsol-optimized structure of DyInNi (meta-GGA SCAN).

Cell: 3.7506 7.3039 7.3039 Å, 120.00 90.00 90.00°
Fractional positions:
Dy  0.5000  0.5887  0.0000
Dy  0.5000  0.4113  0.4113
Dy  0.5000  0.0000  0.5887
In  0.0000  0.2539  0.0000
In  0.0000  0.0000  0.2539
In  0.0000  0.7461  0.7461
Ni  0.0000  0.3333  0.6667
Ni  0.0000  0.6667  0.3333
Ni  0.5000  0.0000  0.0000

Its calculated volume is 173.3 Å³/cell. The energy of formation from the pure elements comes out at -0.577 eV per atom.

---

Record 8
Entry from Alexandria via LeMat-Bulk: a PBEsol-optimized structure of LiNb2FeTc (meta-GGA SCAN).

Cell: 3.5352 4.4658 4.4658 Å, 90.00 90.00 90.00°
Last column: magnetic moment on the atom in μB.
Fractional positions:
Nb  0.0000  0.0000  0.5000  -0.20
Nb  0.0000  0.5000  0.0000  -0.20
Li  0.0000  0.0000  0.0000  -0.06
Tc  0.5000  0.5000  0.5000  -0.06
Fe  0.5000  0.0000  0.0000  1.96

Its calculated volume is 70.5 Å³/cell. The energy of formation from the pure elements comes out at 0.976 eV per atom.

---

Record 9
Entry from Alexandria via LeMat-Bulk: a PBEsol-optimized structure of BaPtW2 (meta-GGA SCAN).

Cell: 3.1111 4.8516 6.6395 Å, 101.25 90.00 108.70°
Fractional positions:
W  0.9985  0.9970  0.9811
W  0.2864  0.5728  0.8719
Pt  0.7234  0.4468  0.1643
Ba  0.4917  0.9834  0.4827

Its calculated volume is 92.9 Å³/cell. Its energy above the most stable polymorph in this dataset is 165 meV/atom. The energy of formation from the pure elements comes out at 0.621 eV per atom.

---

Record 10
Entry from Alexandria via LeMat-Bulk: a PBEsol-optimized structure of SrCrP (meta-GGA SCAN).

Cell: 4.5942 4.5942 4.5942 Å, 60.00 60.00 60.00°
Last column: magnetic moment on the atom in μB.
Fractional positions:
Cr  0.2500  0.2500  0.2500  4.21
P  0.0000  0.0000  0.0000  -0.10
Sr  0.5000  0.5000  0.5000  0.23

Its calculated volume is 68.6 Å³/cell. The energy of formation from the pure elements comes out at -0.293 eV per atom.

---

Record 11
Entry from Alexandria via LeMat-Bulk: a PBEsol-optimized structure of Rb2Tl2Cd (meta-GGA SCAN).

Cell: 4.8860 4.8860 8.8499 Å, 106.02 106.02 90.00°
Fractional positions:
Tl  0.4121  0.4121  0.8243
Tl  0.5879  0.5879  0.1757
Rb  0.2500  0.7500  0.5000
Rb  0.7500  0.2500  0.5000
Cd  0.0000  0.0000  0.0000

Its calculated volume is 194.5 Å³/cell. The energy of formation from the pure elements comes out at 0.238 eV per atom.

---

Record 12
Entry from Alexandria via LeMat-Bulk: a PBEsol-optimized structure of MgSi2N (meta-GGA SCAN).

Cell: 4.3145 4.3145 4.3145 Å, 60.00 60.00 60.00°
Last column: magnetic moment on the atom in μB.
Fractional positions:
Si  0.2500  0.2500  0.2500  0.00
Si  0.7500  0.7500  0.7500  0.00
Mg  0.5000  0.5000  0.5000  0.01
N  0.0000  0.0000  0.0000  0.40

The formation energy without anion corrections comes out at 1.437 eV per atom. Its calculated volume is 56.8 Å³/cell.

---

Calculated total energy (computed, eV per atom): -35.149, -25.237, -45.502, -18.635, -22.893, -42.820, -33.029, -23.392, -61.659, -17.313, -43.084, -7.137